A relaxed TlIn5HgPb2 crystal, computed with PBE-GGA.

formation energy: 0.030 eV/atom
energy: -2.61 eV per atom

Cell lengths 3.5883, 19.8722, 14.6143 Å; angles 90.00, 90.00, 90.00 degrees
Last column: nearest neighbours and their distance in Å.
Space group Cmc2_1 (No. 36)
Unique sites:
Tl  0.0000  0.2264  0.0000 (multiplicity 4)  5 In 3.45-3.69, 4 Pb 3.54-3.56, 2 Tl 3.59, 2 Hg 3.59
In  0.0000  0.0277  0.2985 (multiplicity 4)  1 Hg 3.12, 3 In 3.29-3.36, 2 Pb 3.36
In  0.0000  0.0407  0.0035 (multiplicity 4)  1 Hg 3.20, 3 In 3.25-3.29, 4 Pb 3.33-3.38
In  0.0000  0.1924  0.6692 (multiplicity 4)  1 Hg 3.23, 6 In 3.33-3.59, 3 Pb 3.44-3.58, 2 Tl 3.45
In  0.0000  0.2131  0.3126 (multiplicity 4)  1 Hg 3.00, 3 Pb 3.33, 2 In 3.34
In  0.0000  0.4470  0.1382 (multiplicity 4)  8 In 3.25-3.59, 2 Hg 3.28, 2 Pb 3.32-3.61
Hg  0.0000  0.1185  0.4726 (multiplicity 4)  6 In 3.00-3.28
Pb  0.0000  0.3722  0.6598 (multiplicity 4)  8 In 3.33-3.61, 2 Tl 3.54, 2 Pb 3.59
Pb  0.0000  0.3789  0.3455 (multiplicity 4)  8 In 3.32-3.53, 2 Tl 3.56, 2 Pb 3.59


A relaxed Tl6InHgPb2 crystal, computed with PBE-GGA.

formation energy: 0.051 eV/atom
energy: -2.41 eV per atom

Cell lengths 9.1380, 7.2474, 13.1307 Å; angles 90.00, 133.43, 90.00 degrees
Last column: nearest neighbours and their distance in Å.
Space group P2_1/c (No. 14)
Unique sites:
Tl  0.0939  0.2094  0.3427 (multiplicity 4)  1 In 3.45, 6 Tl 3.45-3.77, 1 Hg 3.45, 2 Pb 3.47-3.50
Tl  0.2405  0.1246  0.6777 (multiplicity 4)  1 Hg 3.25, 1 In 3.26, 3 Pb 3.34-3.56, 2 Tl 3.40-3.45
Tl  0.3846  0.6260  0.8193 (multiplicity 4)  1 In 3.24, 1 Hg 3.26, 3 Pb 3.32-3.53, 2 Tl 3.40-3.50
In  0.0000  0.0000  0.0000 (multiplicity 2)  2 Pb 3.15, 6 Tl 3.24-3.45
Hg  0.5000  0.0000  0.0000 (multiplicity 2)  2 Pb 3.08, 4 Tl 3.25-3.26
Pb  0.2742  0.7095  0.0194 (multiplicity 4)  1 Hg 3.08, 1 In 3.15, 2 Tl 3.32-3.34


A relaxed Tl2In4Hg2Pb3 crystal, computed with PBE-GGA.

formation energy: 0.023 eV/atom
energy: -2.47 eV per atom

Cell lengths 5.3983, 5.3983, 13.0716 Å; angles 90.00, 90.00, 120.00 degrees
Last column: nearest neighbours and their distance in Å.
Space group P-3m1 (No. 164)
Unique sites:
Tl  0.3333  0.6667  0.0847 (multiplicity 2)  5 In 3.25-3.50
In  0.3333  0.6667  0.3521 (multiplicity 2)  4 Hg 3.18-3.22, 3 Pb 3.48, 1 Tl 3.50
In  0.3333  0.6667  0.8362 (multiplicity 2)  1 Hg 3.11, 4 Tl 3.25-3.28, 3 Pb 3.25
Hg  0.3333  0.6667  0.5982 (multiplicity 2)  5 In 3.11-3.22, 3 Pb 3.37
Pb  0.0000  0.0000  0.2344 (multiplicity 2)  6 In 3.25-3.48, 1 Pb 3.47
Pb  0.0000  0.0000  0.5000 (multiplicity 1)  6 Hg 3.37, 2 Pb 3.47, 6 In 3.67


A relaxed TlIn4Hg2Pb2 crystal, computed with PBE-GGA.

formation energy: 0.017 eV/atom
energy: -2.35 eV per atom

Cell lengths 3.4687, 3.4687, 24.6571 Å; angles 90.00, 90.00, 120.00 degrees
Last column: nearest neighbours and their distance in Å.
Space group P3m1 (No. 156)
Unique sites:
Tl  0.0000  0.0000  0.0000 (multiplicity 1)  6 Tl 3.47, 6 Pb 3.56
In  0.0000  0.0000  0.2333 (multiplicity 1)  3 Hg 3.24, 3 Pb 3.45, 6 In 3.47
In  0.0000  0.0000  0.4414 (multiplicity 1)  3 Hg 3.27, 9 In 3.39-3.47
In  0.6667  0.3333  0.5524 (multiplicity 1)  3 Hg 3.21, 9 In 3.39-3.47
In  0.6667  0.3333  0.7537 (multiplicity 1)  1 Pb 3.13, 3 Hg 3.17, 6 In 3.47
Hg  0.0000  0.0000  0.6542 (multiplicity 1)  6 In 3.17-3.21, 6 Hg 3.47
Hg  0.6667  0.3333  0.3364 (multiplicity 1)  6 In 3.24-3.27, 6 Hg 3.47
Pb  0.6667  0.3333  0.1194 (multiplicity 1)  3 In 3.45, 6 Pb 3.47, 3 Tl 3.56
Pb  0.6667  0.3333  0.8807 (multiplicity 1)  1 In 3.13, 6 Pb 3.47